A relaxed structure of Pr3NdHo2PdS2, computed with PBE.

Results
M_tot	0.00	μB/f.u.
crystal system	orthorhombic
total energy	-49.87	eV per cell
space-group type	Amm2 (38)

Unit cell a=3.949 b=8.194 c=8.194 alpha=120.39 beta=90.00 gamma=90.00
Element x y z (fractional)
Ho1 0.000 0.748 0.001
Ho2 0.000 0.001 0.748
Nd1 0.000 0.257 0.257
Pd1 0.500 0.986 0.986
Pr1 0.500 0.418 0.001
Pr2 0.500 0.001 0.418
Pr3 0.500 0.581 0.581
S1 0.000 0.674 0.334
S2 0.000 0.334 0.674